Record 1
# SrMgAlPt2 (PBE, relaxed)
data_SrMgAlPt2
_chemical_formula_sum 'Sr2 Mg2 Al2 Pt4'
_cell_length_a 4.2621
_cell_length_b 4.2621
_cell_length_c 11.5459
_cell_angle_alpha 90.00
_cell_angle_beta 90.00
_cell_angle_gamma 90.00
_space_group_name_H-M_alt 'P 1'
_space_group_IT_number 1
loop_
_space_group_symop_operation_xyz
'x,y,z'
loop_
_atom_site_label
_atom_site_type_symbol
_atom_site_fract_x
_atom_site_fract_y
_atom_site_fract_z
Sr1 Sr 0.0000 0.0000 0.0000
Sr2 Sr 0.5000 0.5000 0.5000
Mg1 Mg 0.0000 0.5000 0.2500
Mg2 Mg 0.5000 0.0000 0.7500
Al1 Al 0.0000 0.5000 0.7500
Al2 Al 0.5000 0.0000 0.2500
Pt1 Pt 0.0000 0.0000 0.3804
Pt2 Pt 0.0000 0.0000 0.6196
Pt3 Pt 0.5000 0.5000 0.1196
Pt4 Pt 0.5000 0.5000 0.8804
# DOS(E_F) ... 4.35 states/eV/cell
# Formation energy from the elements ... -0.901 eV per atom

=====

Record 2
# Sr8LiNi2 (PBE, relaxed)
data_Sr8LiNi2
_chemical_formula_sum 'Sr8 Li1 Ni2'
_cell_length_a 6.3130
_cell_length_b 9.6824
_cell_length_c 9.6872
_cell_angle_alpha 60.02
_cell_angle_beta 89.99
_cell_angle_gamma 90.00
_space_group_name_H-M_alt 'P 1'
_space_group_IT_number 1
loop_
_space_group_symop_operation_xyz
'x,y,z'
loop_
_atom_site_label
_atom_site_type_symbol
_atom_site_fract_x
_atom_site_fract_y
_atom_site_fract_z
Sr1 Sr 0.2411 0.1667 0.1665
Sr2 Sr 0.2577 0.1613 0.6678
Sr3 Sr 0.2577 0.6680 0.6707
Sr4 Sr 0.2577 0.6708 0.1613
Sr5 Sr 0.7423 0.3292 0.8387
Sr6 Sr 0.7423 0.3320 0.3293
Sr7 Sr 0.7423 0.8387 0.3322
Sr8 Sr 0.7589 0.8333 0.8335
Li1 Li 0.0000 0.5000 0.5000
Ni1 Ni 0.2572 0.8333 0.8335
Ni2 Ni 0.7428 0.1667 0.1665
# DOS(E_F) ... 7.54 states/eV/cell
# Formation energy from the elements ... 0.207 eV per atom

=====

Record 3
# SmP2PtRh2 (PBE, relaxed)
data_SmP2PtRh2
_chemical_formula_sum 'Sm2 P4 Pt2 Rh4'
_cell_length_a 6.2025
_cell_length_b 8.8405
_cell_length_c 4.0644
_cell_angle_alpha 90.00
_cell_angle_beta 90.00
_cell_angle_gamma 90.00
_space_group_name_H-M_alt 'P 1'
_space_group_IT_number 1
loop_
_space_group_symop_operation_xyz
'x,y,z'
loop_
_atom_site_label
_atom_site_type_symbol
_atom_site_fract_x
_atom_site_fract_y
_atom_site_fract_z
Sm1 Sm 0.0000 0.0000 0.0000
Sm2 Sm 0.5000 0.5000 0.5000
P1 P 0.2459 0.3030 0.0000
P2 P 0.2541 0.8030 0.5000
P3 P 0.7459 0.1970 0.5000
P4 P 0.7541 0.6970 0.0000
Pt1 Pt 0.0000 0.5000 0.0000
Pt2 Pt 0.5000 0.0000 0.5000
Rh1 Rh 0.0805 0.2852 0.5000
Rh2 Rh 0.4195 0.7852 0.0000
Rh3 Rh 0.5805 0.2148 0.0000
Rh4 Rh 0.9195 0.7148 0.5000
# DOS(E_F) ... 7.11 states/eV/cell
# Formation energy from the elements ... -0.761 eV per atom

=====

Record 4
# NpGe2Sb2Pt7 (PBE, relaxed)
data_NpGe2Sb2Pt7
_chemical_formula_sum 'Np1 Ge2 Sb2 Pt7'
_cell_length_a 15.8342
_cell_length_b 15.8342
_cell_length_c 15.8342
_cell_angle_alpha 165.60
_cell_angle_beta 165.60
_cell_angle_gamma 20.41
_space_group_name_H-M_alt 'P 1'
_space_group_IT_number 1
loop_
_space_group_symop_operation_xyz
'x,y,z'
loop_
_atom_site_label
_atom_site_type_symbol
_atom_site_fract_x
_atom_site_fract_y
_atom_site_fract_z
Np1 Np 0.0000 0.0000 0.0000
Ge1 Ge 0.3782 0.3782 0.0000
Ge2 Ge 0.6218 0.6218 0.0000
Sb1 Sb 0.2127 0.2127 0.0000
Sb2 Sb 0.7873 0.7873 0.0000
Pt1 Pt 0.0718 0.5718 0.5000
Pt2 Pt 0.2994 0.2994 0.0000
Pt3 Pt 0.4282 0.9282 0.5000
Pt4 Pt 0.5000 0.5000 0.0000
Pt5 Pt 0.5718 0.0718 0.5000
Pt6 Pt 0.7006 0.7006 0.0000
Pt7 Pt 0.9282 0.4282 0.5000
# Formation energy without anion corrections ... -45.91 kJ/mol of atoms
# DOS(E_F) ... 11.35 states/eV/cell

=====

Record 5
# La3Tb6Ho2Th (PBE, relaxed)
data_La3Tb6Ho2Th
_chemical_formula_sum 'La3 Tb6 Ho2 Th1'
_cell_length_a 6.2359
_cell_length_b 6.2359
_cell_length_c 11.9288
_cell_angle_alpha 95.00
_cell_angle_beta 95.00
_cell_angle_gamma 119.99
_space_group_name_H-M_alt 'P 1'
_space_group_IT_number 1
loop_
_space_group_symop_operation_xyz
'x,y,z'
loop_
_atom_site_label
_atom_site_type_symbol
_atom_site_fract_x
_atom_site_fract_y
_atom_site_fract_z
La1 La 0.0000 0.0000 0.0000
La2 La 0.3329 0.6671 0.0000
La3 La 0.6671 0.3329 0.0000
Tb1 Tb 0.0881 0.4186 0.2561
Tb2 Tb 0.2511 0.2511 0.7442
Tb3 Tb 0.4186 0.0881 0.2561
Tb4 Tb 0.5814 0.9119 0.7439
Tb5 Tb 0.7489 0.7489 0.2558
Tb6 Tb 0.9119 0.5814 0.7439
Ho1 Ho 0.1667 0.8333 0.5000
Ho2 Ho 0.8333 0.1667 0.5000
Th1 Th 0.5000 0.5000 0.5000
# DOS(E_F) ... 16.33 states/eV/cell
# Formation energy from the elements ... 0.022 eV per atom

=====

Record 6
# Ho2Sc (PBE, relaxed)
data_Ho2Sc
_chemical_formula_sum 'Ho4 Sc2'
_cell_length_a 3.3880
_cell_length_b 5.5991
_cell_length_c 9.4709
_cell_angle_alpha 90.00
_cell_angle_beta 90.00
_cell_angle_gamma 90.00
_space_group_name_H-M_alt 'P 1'
_space_group_IT_number 1
loop_
_space_group_symop_operation_xyz
'x,y,z'
loop_
_atom_site_label
_atom_site_type_symbol
_atom_site_fract_x
_atom_site_fract_y
_atom_site_fract_z
Ho1 Ho 0.0000 0.0000 0.1884
Ho2 Ho 0.0000 0.0000 0.8116
Ho3 Ho 0.5000 0.5000 0.3116
Ho4 Ho 0.5000 0.5000 0.6884
Sc1 Sc 0.0000 0.5000 0.0000
Sc2 Sc 0.5000 0.0000 0.5000
# DOS(E_F) ... 11.54 states/eV/cell
# Formation energy from the elements ... 0.194 eV per atom

=====

Copy entry 5 word for word.
# La3Tb6Ho2Th (PBE, relaxed)
data_La3Tb6Ho2Th
_chemical_formula_sum 'La3 Tb6 Ho2 Th1'
_cell_length_a 6.2359
_cell_length_b 6.2359
_cell_length_c 11.9288
_cell_angle_alpha 95.00
_cell_angle_beta 95.00
_cell_angle_gamma 119.99
_space_group_name_H-M_alt 'P 1'
_space_group_IT_number 1
loop_
_space_group_symop_operation_xyz
'x,y,z'
loop_
_atom_site_label
_atom_site_type_symbol
_atom_site_fract_x
_atom_site_fract_y
_atom_site_fract_z
La1 La 0.0000 0.0000 0.0000
La2 La 0.3329 0.6671 0.0000
La3 La 0.6671 0.3329 0.0000
Tb1 Tb 0.0881 0.4186 0.2561
Tb2 Tb 0.2511 0.2511 0.7442
Tb3 Tb 0.4186 0.0881 0.2561
Tb4 Tb 0.5814 0.9119 0.7439
Tb5 Tb 0.7489 0.7489 0.2558
Tb6 Tb 0.9119 0.5814 0.7439
Ho1 Ho 0.1667 0.8333 0.5000
Ho2 Ho 0.8333 0.1667 0.5000
Th1 Th 0.5000 0.5000 0.5000
# DOS(E_F) ... 16.33 states/eV/cell
# Formation energy from the elements ... 0.022 eV per atom